An optimized crystal structure of Pa8CoGe2, computed with PBE-GGA.

Results
* energy relative to the elements: -163 meV/atom
* calculated total energy: -188.20 eV/cell

Cell: 16.7221 4.1752 7.2744 Å, 90.00 98.30 90.00°
With the nearest neighbours (Å) after each atom.
Space group C2/m (No. 12)
Inequivalent atoms, fractional coordinates:
Pa: 0.0124 0.0000 0.2434 [4 per cell]  2 Co 2.73, 2 Pa 2.93
Pa: 0.0951 0.5000 0.4810 [4 per cell]  6 Pa 2.93-3.26, 2 Ge 3.03
Pa: 0.1546 0.5000 0.0366 [4 per cell]  1 Co 2.56
Pa: 0.2148 0.0000 0.3412 [4 per cell]  3 Ge 2.98-3.19, 7 Pa 3.10-3.26
Co: 0.0000 0.5000 0.0000 [2 per cell]  6 Pa 2.56-2.73
Ge: 0.1711 0.0000 0.7538 [4 per cell]  9 Pa 2.97-3.19